No. 1
Computed, not measured: an optimized crystal structure of LiCoCuRe at the PBE-GGA level of DFT.

## Properties
Energy above the lowest structure with this stoichiometry   0 meV/atom
Total energy   -96.72 eV per cell

a = 5.691 Å, b = 5.691 Å, c = 5.691 Å
α = 90.00°, β = 90.00°, γ = 90.00°
Space group F-43m (No. 216)
One atom of each set of equivalent atoms:
1 Li 0.000 0.000 0.000 [4 per cell]
2 Co 0.000 0.000 0.500 [4 per cell]
3 Cu 0.250 0.250 0.750 [4 per cell]
4 Re 0.250 0.250 0.250 [4 per cell]



No. 2
Computed, not measured: an optimized crystal structure of GdPPdO at the PBE-GGA level of DFT.

## Properties
Energy above the lowest structure with this stoichiometry   779 meV/atom
Total energy   -24.62 eV per cell

a = 4.017 Å, b = 4.017 Å, c = 4.525 Å
α = 90.00°, β = 90.00°, γ = 90.00°
Space group P4/mmm (No. 123)
One atom of each set of equivalent atoms:
1 Gd 0.000 0.000 0.000 [1 per cell]
2 P 0.500 0.500 0.000 [1 per cell]
3 Pd 0.500 0.500 0.500 [1 per cell]
4 O 0.000 0.000 0.500 [1 per cell]